VASP calculation (PBE) on a relaxed Fe4NiRh2 crystal.

Results
**DFT total energy**: -7.583 eV per atom
**Fermi-level density of states**: 0.9941 states/eV per atom

Lattice parameters (Å, degrees): 4.1300 4.1300 11.3573 90.00 90.00 90.00
Closest atoms and distances in Å follow each position.
Space group I4/mmm (No. 139)
Unique sites:
Fe  0.0000  0.5000  0.1106 x8  2 Ni 2.42, 1 Fe 2.51, 4 Rh 2.60-2.61
Ni  0.0000  0.0000  0.0000 x2  8 Fe 2.42
Rh  0.0000  0.0000  0.2508 x4  8 Fe 2.60-2.61, 1 Ni 2.85